Entry 1:
RbTe2As | GGA-PBE | optimized geometry

Cell lengths 8.4901, 8.4901, 9.5000 Å; angles 90.00, 90.00, 90.00 degrees
Closest atoms and distances in Å follow each position.
Space group I-42d (No. 122)
One atom of each set of equivalent atoms:
Rb 0.0000 0.0000 0.0000 (multiplicity 4)  4 Te 3.77
Te 0.1600 0.2500 0.6250 (multiplicity 8)  2 As 2.79
As 0.0000 0.0000 0.5000 (multiplicity 4)  4 Te 2.79

Values from the calculation:
Formation energy (no corrections) (eV per atom): -0.335
N(E_F) (states/eV/atom): 0.001



Entry 2:
AcYOsPd | GGA-PBE | optimized geometry

Cell lengths 7.1991, 7.1991, 7.1991 Å; angles 90.00, 90.00, 90.00 degrees
Closest atoms and distances in Å follow each position.
Space group F-43m (No. 216)
One atom of each set of equivalent atoms:
Ac 0.0000 0.0000 0.0000 (multiplicity 4)  4 Pd 3.12, 4 Os 3.12
Y 0.0000 0.0000 0.5000 (multiplicity 4)  4 Os 3.12, 4 Pd 3.12
Os 0.2500 0.2500 0.7500 (multiplicity 4)  4 Ac 3.12, 4 Y 3.12
Pd 0.2500 0.2500 0.2500 (multiplicity 4)  4 Y 3.12, 4 Ac 3.12

Values from the calculation:
Formation enthalpy at 0 K (eV/atom): -0.308
N(E_F) (states/eV/atom): 0.590



Entry 3:
Cs2NaCd | GGA-PBE | optimized geometry

Cell lengths 11.1014, 11.1014, 8.3696 Å; angles 90.00, 90.00, 90.00 degrees
Closest atoms and distances in Å follow each position.
Space group I-42d (No. 122)
One atom of each set of equivalent atoms:
Cs 0.2211 0.2500 0.1250 (multiplicity 8)  2 Cd 3.85, 2 Cs 4.23, 2 Na 4.29
Na 0.0000 0.0000 0.5000 (multiplicity 4)  2 Cd 4.18, 4 Cs 4.29
Cd 0.0000 0.0000 0.0000 (multiplicity 4)  4 Cs 3.85, 2 Na 4.18

Values from the calculation:
Formation enthalpy at 0 K (eV/atom): 0.105
N(E_F) (states/eV/atom): 0.951



Entry 4:
SmInGe | GGA-PBE | optimized geometry

Cell lengths 4.0128, 18.6304, 4.4654 Å; angles 90.00, 90.00, 90.00 degrees
Closest atoms and distances in Å follow each position.
Space group Cmc2_1 (No. 36)
One atom of each set of equivalent atoms:
Sm 0.0000 0.1624 0.0000 (multiplicity 4)  5 Ge 2.88-3.03
In 0.0000 0.4557 0.0012 (multiplicity 4)  1 Ge 2.58, 2 In 2.78
Ge 0.0000 0.3171 0.0000 (multiplicity 4)  1 In 2.58, 1 Sm 2.88

Values from the calculation:
Formation enthalpy at 0 K (eV/atom): -0.397
N(E_F) (states/eV/atom): 0.324